No. 1
{
  "formula": "SbPb4",
  "functional": "PBE",
  "state": "optimized geometry",
  "cell": [[5.868, 0.000, 0.000], [0.000, 5.868, 0.000], [0.000, 0.000, 5.868]],
  "species": ["Sb", "Pb", "Pb", "Pb", "Pb"],
  "frac_coords": [[0.000, 0.000, 0.000], [0.000, 0.000, 0.500], [0.000, 0.500, 0.000], [0.500, 0.000, 0.000], [0.500, 0.500, 0.500]],
  "dos_at_fermi_per_ev_fu": 2.58,
  "raw_formation_energy_ev_per_atom": 0.488,
  "spacegroup": "Pm-3m, No. 221",
  "crystal_system": "cubic",
  "total_energy_ev_per_cell": -16.52
}

---

No. 2
{
  "formula": "SbPb",
  "functional": "PBE",
  "state": "optimized geometry",
  "cell": [[4.252, 0.000, 0.000], [0.000, 4.252, 0.000], [0.000, 0.000, 6.868]],
  "species": ["Sb", "Sb", "Pb", "Pb"],
  "frac_coords": [[0.250, 0.250, 0.070], [0.750, 0.750, 0.930], [0.250, 0.250, 0.600], [0.750, 0.750, 0.400]],
  "dos_at_fermi_per_ev_fu": 1.03,
  "raw_formation_energy_ev_per_atom": 0.097,
  "spacegroup": "P4/nmm, No. 129",
  "crystal_system": "tetragonal",
  "total_energy_ev_per_cell": -15.27
}